First-principles (PBE) data for a relaxed LaMo2Br crystal, as listed in Alexandria via LeMat-Bulk.

The calculation puts the volume at 93.6 Å³ per cell. As for the density of states at the Fermi level: 0.6770 states/eV/atom. The space-group type is Imm2 (44). The energy above the most stable polymorph in this dataset comes out at 170 kJ/mol of formula units. Its uncorrected formation energy is 0.410 eV/atom.

Cell lengths 5.8021, 5.8021, 5.8021 Å; angles 145.36, 121.10, 70.17 degrees
Element x y z (fractional)
Br  0.5333  0.5333  0.0000
La  0.2555  0.7555  0.5000
Mo  0.7683  0.2683  0.5000
Mo  0.9428  0.9428  0.0000